1.
A relaxed structure of Sm2NpFe2. Source: Alexandria via LeMat-Bulk, functional PBE.

Fermi-level density of states: 33.752 states/eV/cell
Energy relative to the elements: 0.01 eV/atom
Total magnetization: 6.741 Bohr magnetons per cell

Structure (CIF):
```
data_Sm2NpFe2
_cell_length_a 9.8368
_cell_length_b 5.9308
_cell_length_c 7.4760
_cell_angle_alpha 90.00
_cell_angle_beta 98.27
_cell_angle_gamma 90.00
_symmetry_space_group_name_H-M 'C 1 2/c 1'
_symmetry_Int_Tables_number 15
loop_
_symmetry_equiv_pos_as_xyz
'x,y,z'
'-x,-y,-z'
'-x,y,-z+1/2'
'x,-y,z+1/2'
'x+1/2,y+1/2,z'
'-x+1/2,-y+1/2,-z'
'-x+1/2,y+1/2,-z+1/2'
'x+1/2,-y+1/2,z+1/2'
loop_
_atom_site_label
_atom_site_type_symbol
_atom_site_fract_x
_atom_site_fract_y
_atom_site_fract_z
Sm1 Sm 0.1524 0.1123 0.1514
Np1 Np 0.0000 0.3841 0.7500
Fe1 Fe 0.1137 0.3854 0.5175
```

***

2.
A relaxed structure of Np4FeSn8. Source: Alexandria via LeMat-Bulk, functional PBE.

Fermi-level density of states: 19.856 states/eV/cell
Energy relative to the elements: 0.11 eV/atom
Total magnetization: 3.160 Bohr magnetons per cell

Structure (CIF):
```
data_Np4FeSn8
_cell_length_a 7.8507
_cell_length_b 3.3803
_cell_length_c 12.2324
_cell_angle_alpha 90.00
_cell_angle_beta 98.18
_cell_angle_gamma 90.00
_symmetry_space_group_name_H-M 'P 1 m 1'
_symmetry_Int_Tables_number 6
loop_
_symmetry_equiv_pos_as_xyz
'x,y,z'
'x,-y,z'
loop_
_atom_site_label
_atom_site_type_symbol
_atom_site_fract_x
_atom_site_fract_y
_atom_site_fract_z
Np1 Np 0.0000 0.0000 0.0000
Np2 Np 0.0772 0.5000 0.7793
Np3 Np 0.6765 0.0000 0.3781
Np4 Np 0.8372 0.5000 0.8956
Fe1 Fe 0.2547 0.5000 0.6637
Sn1 Sn 0.0326 0.0000 0.2847
Sn2 Sn 0.0356 0.0000 0.5416
Sn3 Sn 0.3460 0.5000 0.4407
Sn4 Sn 0.3612 0.0000 0.1893
Sn5 Sn 0.3825 0.5000 0.9781
Sn6 Sn 0.4922 0.0000 0.7715
Sn7 Sn 0.7096 0.5000 0.6166
Sn8 Sn 0.7245 0.5000 0.1400
```

***

3.
A relaxed structure of NpFe4Sn. Source: Alexandria via LeMat-Bulk, functional PBE.

Fermi-level density of states: 51.102 states/eV/cell
Energy relative to the elements: 0.05 eV/atom
Total magnetization: 15.201 Bohr magnetons per cell

Structure (CIF):
```
data_NpFe4Sn
_cell_length_a 7.0914
_cell_length_b 7.0914
_cell_length_c 7.0914
_cell_angle_alpha 90.00
_cell_angle_beta 90.00
_cell_angle_gamma 90.00
_symmetry_space_group_name_H-M 'F -4 3 m'
_symmetry_Int_Tables_number 216
_symmetry_space_group_name_Hall 'F -4 2 3'
loop_
_atom_site_label
_atom_site_type_symbol
_atom_site_fract_x
_atom_site_fract_y
_atom_site_fract_z
Np1 Np 0.0000 0.0000 0.0000
Fe1 Fe 0.1239 0.1239 0.6239
Sn1 Sn 0.2500 0.2500 0.2500
```

***

4.
A relaxed structure of NpFe2Sn. Source: Alexandria via LeMat-Bulk, functional PBE.

Fermi-level density of states: 5.704 states/eV/cell
Energy relative to the elements: 0.12 eV/atom
Total magnetization: 0.530 Bohr magnetons per cell

Structure (CIF):
```
data_NpFe2Sn
_cell_length_a 4.5516
_cell_length_b 4.5516
_cell_length_c 3.2086
_cell_angle_alpha 90.00
_cell_angle_beta 90.00
_cell_angle_gamma 90.00
_symmetry_space_group_name_H-M 'P 4/m m m'
_symmetry_Int_Tables_number 123
_symmetry_space_group_name_Hall '-P 4 2'
loop_
_atom_site_label
_atom_site_type_symbol
_atom_site_fract_x
_atom_site_fract_y
_atom_site_fract_z
Np1 Np 0.0000 0.0000 0.0000
Fe1 Fe 0.0000 0.5000 0.5000
Sn1 Sn 0.5000 0.5000 0.0000
```

***

5.
A relaxed structure of NpTaFe4. Source: Alexandria via LeMat-Bulk, functional PBE.

E above lowest polymorph: 0.063 eV/atom
Fermi-level density of states: 49.396 states/eV/cell
Energy relative to the elements: 0.03 eV/atom
Total magnetization: 8.600 Bohr magnetons per cell

Structure (CIF):
```
data_NpTaFe4
_cell_length_a 6.9537
_cell_length_b 6.9537
_cell_length_c 6.9537
_cell_angle_alpha 90.00
_cell_angle_beta 90.00
_cell_angle_gamma 90.00
_symmetry_space_group_name_H-M 'F -4 3 m'
_symmetry_Int_Tables_number 216
_symmetry_space_group_name_Hall 'F -4 2 3'
loop_
_atom_site_label
_atom_site_type_symbol
_atom_site_fract_x
_atom_site_fract_y
_atom_site_fract_z
Np1 Np 0.0000 0.0000 0.0000
Ta1 Ta 0.2500 0.2500 0.7500
Fe1 Fe 0.1244 0.1244 0.3756
```

***

6.
A relaxed structure of NpTaFe4. Source: Alexandria via LeMat-Bulk, functional PBE.

E above lowest polymorph: 0.000 eV/atom
Fermi-level density of states: 21.078 states/eV/cell
Energy relative to the elements: -0.03 eV/atom
Total magnetization: 10.573 Bohr magnetons per cell

Structure (CIF):
```
data_NpTaFe4
_cell_length_a 4.7559
_cell_length_b 4.7559
_cell_length_c 8.2304
_cell_angle_alpha 90.00
_cell_angle_beta 90.00
_cell_angle_gamma 120.00
_symmetry_space_group_name_H-M 'P -3 m 1'
_symmetry_Int_Tables_number 164
_symmetry_space_group_name_Hall '-P 3 2"'
loop_
_atom_site_label
_atom_site_type_symbol
_atom_site_fract_x
_atom_site_fract_y
_atom_site_fract_z
Np1 Np 0.3333 0.6667 0.0465
Ta1 Ta 0.3333 0.6667 0.4326
Fe1 Fe 0.0000 0.0000 0.0000
Fe2 Fe 0.0000 0.0000 0.5000
Fe3 Fe 0.1673 0.3347 0.7351
```

***

7.
A relaxed structure of Tb2NpFe2. Source: Alexandria via LeMat-Bulk, functional PBE.

Fermi-level density of states: 33.918 states/eV/cell
Energy relative to the elements: -0.04 eV/atom
Total magnetization: 6.761 Bohr magnetons per cell

Structure (CIF):
```
data_Tb2NpFe2
_cell_length_a 9.7063
_cell_length_b 5.8046
_cell_length_c 7.4427
_cell_angle_alpha 90.00
_cell_angle_beta 99.55
_cell_angle_gamma 90.00
_symmetry_space_group_name_H-M 'C 1 2/c 1'
_symmetry_Int_Tables_number 15
loop_
_symmetry_equiv_pos_as_xyz
'x,y,z'
'-x,-y,-z'
'-x,y,-z+1/2'
'x,-y,z+1/2'
'x+1/2,y+1/2,z'
'-x+1/2,-y+1/2,-z'
'-x+1/2,y+1/2,-z+1/2'
'x+1/2,-y+1/2,z+1/2'
loop_
_atom_site_label
_atom_site_type_symbol
_atom_site_fract_x
_atom_site_fract_y
_atom_site_fract_z
Tb1 Tb 0.1521 0.1115 0.1510
Np1 Np 0.0000 0.3892 0.7500
Fe1 Fe 0.1164 0.3861 0.5136
```

***

8.
A relaxed structure of TbNpFe. Source: Alexandria via LeMat-Bulk, functional PBE.

Fermi-level density of states: 21.479 states/eV/cell
Energy relative to the elements: 0.29 eV/atom
Total magnetization: 0.517 Bohr magnetons per cell

Structure (CIF):
```
data_TbNpFe
_cell_length_a 6.8148
_cell_length_b 3.4020
_cell_length_c 10.2469
_cell_angle_alpha 90.00
_cell_angle_beta 90.00
_cell_angle_gamma 90.00
_symmetry_space_group_name_H-M 'P n m a'
_symmetry_Int_Tables_number 62
loop_
_symmetry_equiv_pos_as_xyz
'x,y,z'
'-x,-y,-z'
'-x+1/2,-y,z+1/2'
'x+1/2,y,-z+1/2'
'x+1/2,-y+1/2,-z+1/2'
'-x+1/2,y+1/2,z+1/2'
'-x,y+1/2,-z'
'x,-y+1/2,z'
loop_
_atom_site_label
_atom_site_type_symbol
_atom_site_fract_x
_atom_site_fract_y
_atom_site_fract_z
Tb1 Tb 0.1074 0.2500 0.1164
Np1 Np 0.0779 0.2500 0.4339
Fe1 Fe 0.1441 0.2500 0.7515
```

***

9.
A relaxed structure of NpFe2Tc. Source: Alexandria via LeMat-Bulk, functional PBE.

Fermi-level density of states: 5.231 states/eV/cell
Energy relative to the elements: 0.10 eV/atom
Total magnetization: 1.967 Bohr magnetons per cell

Structure (CIF):
```
data_NpFe2Tc
_cell_length_a 3.8778
_cell_length_b 3.8778
_cell_length_c 3.8980
_cell_angle_alpha 90.00
_cell_angle_beta 90.00
_cell_angle_gamma 90.00
_symmetry_space_group_name_H-M 'P 4/m m m'
_symmetry_Int_Tables_number 123
_symmetry_space_group_name_Hall '-P 4 2'
loop_
_atom_site_label
_atom_site_type_symbol
_atom_site_fract_x
_atom_site_fract_y
_atom_site_fract_z
Np1 Np 0.0000 0.0000 0.0000
Fe1 Fe 0.0000 0.5000 0.5000
Tc1 Tc 0.5000 0.5000 0.0000
```

***

10.
A relaxed structure of NpFeTc. Source: Alexandria via LeMat-Bulk, functional PBE.

E above lowest polymorph: 0.134 eV/atom
Fermi-level density of states: 5.760 states/eV/cell
Energy relative to the elements: 0.40 eV/atom
Total magnetization: 1.386 Bohr magnetons per cell

Structure (CIF):
```
data_NpFeTc
_cell_length_a 4.6987
_cell_length_b 4.6987
_cell_length_c 2.4225
_cell_angle_alpha 90.00
_cell_angle_beta 90.00
_cell_angle_gamma 120.00
_symmetry_space_group_name_H-M 'P -6 m 2'
_symmetry_Int_Tables_number 187
_symmetry_space_group_name_Hall 'P -6 2'
loop_
_atom_site_label
_atom_site_type_symbol
_atom_site_fract_x
_atom_site_fract_y
_atom_site_fract_z
Np1 Np 0.0000 0.0000 0.0000
Fe1 Fe 0.3333 0.6667 0.5000
Tc1 Tc 0.6667 0.3333 0.5000
```

***

11.
A relaxed structure of NpFeTc. Source: Alexandria via LeMat-Bulk, functional PBE.

E above lowest polymorph: 0.175 eV/atom
Fermi-level density of states: 27.185 states/eV/cell
Energy relative to the elements: 0.44 eV/atom
Total magnetization: 4.434 Bohr magnetons per cell

Structure (CIF):
```
data_NpFeTc
_cell_length_a 3.2534
_cell_length_b 3.2534
_cell_length_c 31.3125
_cell_angle_alpha 90.00
_cell_angle_beta 90.00
_cell_angle_gamma 120.00
_symmetry_space_group_name_H-M 'R -3 m'
_symmetry_Int_Tables_number 166
_symmetry_space_group_name_Hall '-R 3 2"'
loop_
_atom_site_label
_atom_site_type_symbol
_atom_site_fract_x
_atom_site_fract_y
_atom_site_fract_z
Np1 Np 0.0000 0.0000 0.0746
Fe1 Fe 0.0000 0.0000 0.3596
Tc1 Tc 0.0000 0.0000 0.2015
```